Here is a relaxed Ni3OF5 crystal from Alexandria. Energies are from GGA+U.

* V: 11.4 Å³/atom
* total moment: 14.02 μB/cell
* E: -4.27 eV per atom
* polymorph energy (0 for the lowest one): 0.005 eV/atom

```
Ni3OF5
1.0
2.2014 0.3025 5.1752
4.6724 -3.1421 0.1251
5.8256 4.5456 -0.2500
Ni O F
6 2 10
Direct
0.3410 0.3410 0.1595 Ni
0.3320 0.3320 0.6652 Ni
0.6680 0.6680 0.3348 Ni
0.6590 0.6590 0.8405 Ni
0.0000 0.0000 0.5000 Ni
0.0000 0.0000 0.0000 Ni
0.2999 0.7001 0.0000 O
0.7001 0.2999 0.0000 O
0.0265 0.6364 0.6691 F
0.3636 0.9735 0.3309 F
0.7655 0.7655 0.0378 F
0.4362 0.4362 0.3683 F
0.1010 0.1010 0.7002 F
0.2345 0.2345 0.9622 F
0.5638 0.5638 0.6317 F
0.8990 0.8990 0.2998 F
0.6364 0.0265 0.6691 F
0.9735 0.3636 0.3309 F
```